1.
A plane-wave DFT calculation with GGA-PBE was carried out for crystalline CoPPb2 at its relaxed geometry.

```
CoPPb2
1.0
-3.673 4.447 -0.992
-3.840 1.541 4.139
5.728 -1.114 -0.444
Co P Pb
1 1 2
Cartesian
-3.756 2.994 1.573
-0.850 3.164 0.069
0.000 0.000 0.000
-0.934 1.711 2.634
```

Summary:
ΔH_f (0 K)	0.66	eV per atom
total energy	-4.324	eV/atom
M_tot	1.7	μB per formula unit
SG	No. 119



2.
A plane-wave DFT calculation with GGA-PBE was carried out for crystalline CoPPb2 at its relaxed geometry.

```
CoPPb2
1.0
-0.352 -2.035 -7.237
3.355 -1.317 -6.607
1.858 -4.689 -5.586
Co P Pb
1 1 2
Cartesian
2.635 -4.359 -10.532
1.011 -1.673 -4.042
4.704 -7.781 -18.804
3.802 -6.289 -15.197
```

Summary:
ΔH_f (0 K)	-0.11	eV per atom
total energy	-5.095	eV/atom
M_tot	0.0	μB per formula unit
SG	No. 160



3.
A plane-wave DFT calculation with GGA-PBE was carried out for crystalline CoP2Pb at its relaxed geometry.

```
CoP2Pb
1.0
-3.259 -2.955 -2.078
-1.830 -2.528 3.733
0.419 4.825 -0.458
Co P Pb
1 2 1
Cartesian
-2.692 -0.436 -0.854
0.000 0.000 0.000
-1.977 -0.222 2.051
-2.544 -2.742 0.827
```

Summary:
ΔH_f (0 K)	0.76	eV per atom
total energy	-4.644	eV/atom
M_tot	0.8	μB per formula unit
SG	No. 119



4.
A plane-wave DFT calculation with GGA-PBE was carried out for crystalline CoPPb2 at its relaxed geometry.

```
CoPPb2
1.0
4.662 0.026 0.014
3.321 3.272 0.014
2.609 1.078 6.323
Co P Pb
1 1 2
Cartesian
6.036 2.493 3.056
1.951 0.806 1.880
7.650 3.160 0.437
8.236 3.402 4.183
```

Summary:
ΔH_f (0 K)	0.12	eV per atom
total energy	-4.863	eV/atom
M_tot	0.0	μB per formula unit
SG	No. 8



5.
A plane-wave DFT calculation with GGA-PBE was carried out for crystalline CoPPb2 at its relaxed geometry.

```
CoPPb2
1.0
4.953 0.000 0.000
2.476 4.289 0.000
2.476 1.430 4.044
Co P Pb
1 1 2
Cartesian
4.953 2.860 2.022
7.429 4.289 3.033
0.000 0.000 0.000
2.476 1.430 1.011
```

Summary:
ΔH_f (0 K)	0.75	eV per atom
total energy	-4.235	eV/atom
M_tot	0.9	μB per formula unit
SG	No. 216



6.
A plane-wave DFT calculation with GGA-PBE was carried out for crystalline CoP2Pb at its relaxed geometry.

```
CoP2Pb
1.0
-2.562 2.402 -3.014
-3.516 -2.939 0.647
-1.141 1.914 2.495
Co P Pb
1 2 1
Cartesian
-2.328 -0.513 1.571
0.000 0.000 0.000
-3.039 -0.268 -1.184
-1.852 2.158 -0.259
```

Summary:
ΔH_f (0 K)	0.81	eV per atom
total energy	-4.598	eV/atom
M_tot	1.3	μB per formula unit
SG	No. 123



7.
A plane-wave DFT calculation with GGA-PBE was carried out for crystalline CoPPb2 at its relaxed geometry.

```
CoPPb2
1.0
3.349 0.000 0.000
0.000 3.384 -0.019
0.000 3.461 7.306
Co P Pb
1 1 2
Cartesian
1.675 1.711 1.822
1.675 5.134 5.465
0.000 3.388 0.143
0.000 3.418 3.481
```

Summary:
ΔH_f (0 K)	0.57	eV per atom
total energy	-4.408	eV/atom
M_tot	1.1	μB per formula unit
SG	No. 10



8.
A plane-wave DFT calculation with GGA-PBE was carried out for crystalline CoP2Pb at its relaxed geometry.

```
CoP2Pb
1.0
-0.127 1.811 -4.153
-4.225 -0.731 1.469
-0.071 3.361 1.468
Co P Pb
1 2 1
Cartesian
-2.148 1.315 1.469
0.000 0.000 0.000
-2.176 0.540 -1.342
-0.099 2.586 -1.342
```

Summary:
ΔH_f (0 K)	0.70	eV per atom
total energy	-4.711	eV/atom
M_tot	0.5	μB per formula unit
SG	No. 65



9.
A plane-wave DFT calculation with GGA-PBE was carried out for crystalline Co2PPb at its relaxed geometry.

```
Co2PPb
1.0
-2.609 -1.715 0.657
0.801 -0.036 3.089
-3.099 5.046 0.863
Co P Pb
2 1 1
Cartesian
-0.098 0.160 0.027
-1.849 0.664 2.136
-1.199 1.952 0.334
-3.310 3.042 2.543
```

Summary:
ΔH_f (0 K)	0.12	eV per atom
total energy	-5.710	eV/atom
M_tot	0.5	μB per formula unit
E above lowest polymorph	253	meV/atom
SG	No. 99



10.
A plane-wave DFT calculation with GGA-PBE was carried out for crystalline Co2PPb at its relaxed geometry.

```
Co2PPb
1.0
-2.326 -0.445 3.533
3.553 0.027 2.338
-0.205 3.242 0.272
Co P Pb
2 1 1
Cartesian
0.000 0.000 0.000
0.613 -0.209 2.936
-1.266 1.398 1.902
1.674 1.634 1.305
```

Summary:
ΔH_f (0 K)	0.49	eV per atom
total energy	-5.345	eV/atom
M_tot	1.8	μB per formula unit
E above lowest polymorph	618	meV/atom
SG	No. 123



11.
A plane-wave DFT calculation with GGA-PBE was carried out for crystalline CoP2Pb at its relaxed geometry.

```
CoP2Pb
1.0
5.120 -0.023 -0.008
0.169 5.117 0.008
-1.521 -3.713 3.180
Co P Pb
1 2 1
Cartesian
0.174 1.520 1.594
0.152 0.146 0.000
3.657 -0.079 1.586
2.429 2.340 0.000
```

Summary:
ΔH_f (0 K)	0.40	eV per atom
total energy	-5.013	eV/atom
M_tot	0.3	μB per formula unit
SG	No. 44



12.
A plane-wave DFT calculation with GGA-PBE was carried out for crystalline Co2PPb at its relaxed geometry.

```
Co2PPb
1.0
-2.725 2.705 2.248
-3.458 -2.581 -1.086
-2.036 -3.892 6.616
Pb P Co
2 2 4
Cartesian
0.000 0.000 0.000
-3.926 -0.563 4.723
-3.091 0.062 0.581
-4.292 -3.205 3.056
-2.217 -0.029 2.571
-3.437 -1.824 1.609
-4.387 -3.277 5.228
-6.395 -2.406 6.149
```

Summary:
ΔH_f (0 K)	0.18	eV per atom
total energy	-5.648	eV/atom
M_tot	1.8	μB per formula unit
E above lowest polymorph	315	meV/atom
SG	No. 122